1.
An optimized crystal structure of Na4Al3Si3SO16. Source: Alexandria via LeMat-Bulk, functional PBE-GGA.

Values from the calculation:
- M_tot (μB per formula unit) = 0.97
- E_tot (eV per cell) = -364.7
- energy relative to the elements, uncorrected (meV/atom) = -2449

abc: 9.271 9.271 9.271
angles: 90.00 90.00 90.00
Positions (direct):
Na: 0.239 0.239 0.239
Na: 0.239 0.761 0.761
Na: 0.261 0.261 0.739
Na: 0.261 0.739 0.261
Na: 0.739 0.261 0.261
Na: 0.739 0.739 0.739
Na: 0.761 0.239 0.761
Na: 0.761 0.761 0.239
Al: 0.000 0.250 0.500
Al: 0.000 0.750 0.500
Al: 0.250 0.500 0.000
Al: 0.500 0.000 0.250
Al: 0.500 0.000 0.750
Al: 0.750 0.500 0.000
Si: 0.000 0.500 0.250
Si: 0.000 0.500 0.750
Si: 0.250 0.000 0.500
Si: 0.500 0.250 0.000
Si: 0.500 0.750 0.000
Si: 0.750 0.000 0.500
S: 0.000 0.000 0.000
S: 0.500 0.500 0.500
O: 0.028 0.354 0.345
O: 0.028 0.646 0.655
O: 0.092 0.092 0.092
O: 0.092 0.908 0.908
O: 0.146 0.472 0.845
O: 0.146 0.528 0.155
O: 0.155 0.146 0.528
O: 0.155 0.854 0.472
O: 0.345 0.028 0.354
O: 0.345 0.972 0.646
O: 0.354 0.345 0.028
O: 0.354 0.655 0.972
O: 0.408 0.408 0.592
O: 0.408 0.592 0.408
O: 0.472 0.155 0.854
O: 0.472 0.845 0.146
O: 0.528 0.155 0.146
O: 0.528 0.845 0.854
O: 0.592 0.408 0.408
O: 0.592 0.592 0.592
O: 0.646 0.345 0.972
O: 0.646 0.655 0.028
O: 0.655 0.028 0.646
O: 0.655 0.972 0.354
O: 0.845 0.146 0.472
O: 0.845 0.854 0.528
O: 0.854 0.472 0.155
O: 0.854 0.528 0.845
O: 0.908 0.092 0.908
O: 0.908 0.908 0.092
O: 0.972 0.354 0.655
O: 0.972 0.646 0.345


2.
An optimized crystal structure of Na2AlSbO4. Source: Alexandria via LeMat-Bulk, functional PBE-GGA.

Values from the calculation:
- M_tot (μB per formula unit) = 0.00
- E_tot (eV per cell) = -45.7
- energy relative to the elements, uncorrected (meV/atom) = -1925

abc: 5.086 5.094 5.392
angles: 63.86 63.66 84.20
Positions (direct):
Na: 0.000 0.000 0.000
Na: 0.245 0.745 0.505
Al: 0.799 0.194 0.501
Sb: 0.479 0.515 0.002
O: 0.160 0.227 0.471
O: 0.539 0.197 0.863
O: 0.764 0.834 0.531
O: 0.802 0.450 0.135


3.
An optimized crystal structure of Na3Sc3AlO8. Source: Alexandria via LeMat-Bulk, functional PBE-GGA.

Values from the calculation:
- M_tot (μB per formula unit) = 1.04
- E_tot (eV per cell) = -106.6
- energy relative to the elements, uncorrected (meV/atom) = -2682

abc: 6.572 6.572 6.572
angles: 56.76 56.76 56.76
Positions (direct):
Na: 0.000 0.500 0.500
Na: 0.500 0.000 0.500
Na: 0.500 0.500 0.000
Sc: 0.000 0.000 0.500
Sc: 0.000 0.500 0.000
Sc: 0.500 0.000 0.000
Al: 0.500 0.500 0.500
O: 0.234 0.234 0.234
O: 0.254 0.717 0.717
O: 0.283 0.283 0.746
O: 0.283 0.746 0.283
O: 0.717 0.254 0.717
O: 0.717 0.717 0.254
O: 0.746 0.283 0.283
O: 0.766 0.766 0.766


4.
An optimized crystal structure of NaAlSeO4. Source: Alexandria via LeMat-Bulk, functional PBE-GGA.

Values from the calculation:
- M_tot (μB per formula unit) = 0.00
- E_tot (eV per cell) = -39.2
- energy relative to the elements, uncorrected (meV/atom) = -1545

abc: 5.437 5.437 5.437
angles: 121.24 121.24 87.86
Positions (direct):
Na: 0.000 0.000 0.000
Al: 0.250 0.750 0.500
Se: 0.500 0.500 0.000
O: 0.220 0.650 0.116
O: 0.350 0.465 0.570
O: 0.535 0.105 0.884
O: 0.895 0.780 0.430


5.
An optimized crystal structure of NaAl2SeO6. Source: Alexandria via LeMat-Bulk, functional PBE-GGA.

Values from the calculation:
- M_tot (μB per formula unit) = 1.00
- E_tot (eV per cell) = -122.5
- energy relative to the elements, uncorrected (meV/atom) = -1921

abc: 6.781 6.781 6.022
angles: 104.11 104.11 99.86
Positions (direct):
Na: 0.099 0.901 0.750
Na: 0.901 0.099 0.250
Al: 0.294 0.447 0.836
Al: 0.447 0.294 0.336
Al: 0.553 0.706 0.664
Al: 0.706 0.553 0.164
Se: 0.207 0.793 0.250
Se: 0.793 0.207 0.750
O: 0.037 0.229 0.705
O: 0.146 0.640 0.929
O: 0.229 0.037 0.205
O: 0.335 0.429 0.549
O: 0.360 0.854 0.571
O: 0.429 0.335 0.049
O: 0.571 0.665 0.951
O: 0.640 0.146 0.429
O: 0.665 0.571 0.451
O: 0.771 0.963 0.795
O: 0.854 0.360 0.071
O: 0.963 0.771 0.295


6.
An optimized crystal structure of Na2AlSeO4. Source: Alexandria via LeMat-Bulk, functional PBE-GGA.

Values from the calculation:
- M_tot (μB per formula unit) = 1.02
- E_tot (eV per cell) = -40.6
- energy relative to the elements, uncorrected (meV/atom) = -1364

abc: 5.128 5.128 5.128
angles: 107.55 107.55 113.39
Positions (direct):
Na: 0.000 0.500 0.500
Na: 0.500 0.000 0.500
Al: 0.000 0.000 0.000
Se: 0.500 0.500 0.000
O: 0.048 0.048 0.683
O: 0.365 0.365 0.317
O: 0.635 0.952 0.000
O: 0.952 0.635 0.000